VASP calculation (PBE) on a relaxed PuUTl2O6 crystal.

The value obtained for the uncorrected formation energy is -23.79 eV/f.u. As for the crystal system: cubic.

a b c (Å): 6.146 6.146 6.146
angles (deg): 60.00 60.00 60.00
Fractional coordinates of all 10 atoms:
Pu 0.000 0.000 0.000
U 0.500 0.500 0.500
Tl 0.250 0.250 0.250
Tl 0.750 0.750 0.750
O 0.257 0.257 0.743
O 0.257 0.743 0.257
O 0.257 0.743 0.743
O 0.743 0.257 0.257
O 0.743 0.257 0.743
O 0.743 0.743 0.257